(1)
! Cr2PIr | Alexandria via LeMat-Bulk | PBE | relaxed; values from VASP
&SYSTEM
  ibrav = 0, nat = 4, ntyp = 3
/
ATOMIC_SPECIES
Cr 52.00 Cr.upf
Ir 192.22 Ir.upf
P 30.97 P.upf
CELL_PARAMETERS angstrom
5.002 0.003 0.000
2.513 4.325 0.000
-3.285 -2.985 2.307
ATOMIC_POSITIONS angstrom
Cr 0.297 0.171 0.000
Cr 2.685 -0.439 1.153
Ir 3.537 2.037 0.000
P 1.469 1.738 1.153
! E_tot (eV per atom): -8.569

=====

(2)
! CrPIr | Alexandria via LeMat-Bulk | PBE | relaxed; values from VASP
&SYSTEM
  ibrav = 0, nat = 3, ntyp = 3
/
ATOMIC_SPECIES
Cr 52.00 Cr.upf
Ir 192.22 Ir.upf
P 30.97 P.upf
CELL_PARAMETERS angstrom
-3.291 2.223 0.626
0.364 -3.594 1.765
1.217 1.190 2.173
ATOMIC_POSITIONS angstrom
Cr 1.114 1.090 1.989
Ir -0.324 -1.136 2.333
P -1.284 1.056 2.414
! E_tot (eV per atom): -8.113

=====

(3)
! Cr2PIr | Alexandria via LeMat-Bulk | PBE | relaxed; values from VASP
&SYSTEM
  ibrav = 0, nat = 4, ntyp = 3
/
ATOMIC_SPECIES
Cr 52.00 Cr.upf
Ir 192.22 Ir.upf
P 30.97 P.upf
CELL_PARAMETERS angstrom
8.128 -0.003 -0.002
7.684 2.648 -0.002
7.684 1.285 2.316
ATOMIC_POSITIONS angstrom
Cr 0.126 0.021 0.012
Cr 11.622 1.944 1.143
Ir 5.874 0.983 0.578
P 17.623 2.948 1.734
! E_tot (eV per atom): -8.434

=====

(4)
! Cr2PIr | Alexandria via LeMat-Bulk | PBE | relaxed; values from VASP
&SYSTEM
  ibrav = 0, nat = 4, ntyp = 3
/
ATOMIC_SPECIES
Cr 52.00 Cr.upf
Ir 192.22 Ir.upf
P 30.97 P.upf
CELL_PARAMETERS angstrom
-3.457 -0.594 -3.350
-1.150 -4.550 -1.226
0.247 3.268 3.575
ATOMIC_POSITIONS angstrom
Cr -0.121 -0.136 -0.121
Cr -2.182 -2.436 -2.167
Ir -2.757 0.051 -1.031
P -1.603 -1.927 0.030
! E_tot (eV per atom): -8.565

=====

(5)
! CrPIr2 | Alexandria via LeMat-Bulk | PBE | relaxed; values from VASP
&SYSTEM
  ibrav = 0, nat = 4, ntyp = 3
/
ATOMIC_SPECIES
Cr 52.00 Cr.upf
Ir 192.22 Ir.upf
P 30.97 P.upf
CELL_PARAMETERS angstrom
2.786 0.000 0.000
0.000 2.786 0.000
0.000 0.000 6.885
ATOMIC_POSITIONS angstrom
Cr 1.393 1.393 5.163
Ir 0.000 0.000 0.081
Ir 0.000 0.000 3.361
P 1.393 1.393 1.721
! E_tot (eV per atom): -8.213

=====

(6)
! CrP4Ir | Alexandria via LeMat-Bulk | PBE | relaxed; values from VASP
&SYSTEM
  ibrav = 0, nat = 6, ntyp = 3
/
ATOMIC_SPECIES
Cr 52.00 Cr.upf
P 30.97 P.upf
Ir 192.22 Ir.upf
CELL_PARAMETERS angstrom
0.603 -4.853 0.700
-3.753 -3.102 -0.839
0.142 -3.057 -3.879
ATOMIC_POSITIONS angstrom
Cr -0.752 -2.753 -1.004
P -1.952 -5.354 -0.569
P -0.001 -5.331 -2.091
P -1.881 -6.885 -2.512
P -2.183 -4.454 -2.863
Ir 0.000 0.000 0.000
! E_tot (eV per atom): -5.930

=====

(7)
! CrPIr2 | Alexandria via LeMat-Bulk | PBE | relaxed; values from VASP
&SYSTEM
  ibrav = 0, nat = 4, ntyp = 3
/
ATOMIC_SPECIES
Cr 52.00 Cr.upf
Ir 192.22 Ir.upf
P 30.97 P.upf
CELL_PARAMETERS angstrom
-1.572 4.161 2.611
-3.425 3.237 -2.096
1.069 -4.792 1.579
ATOMIC_POSITIONS angstrom
Cr -2.427 1.072 -0.130
Ir -4.799 7.106 0.495
Ir -2.696 3.992 0.278
P -1.500 1.534 2.224
! E_tot (eV per atom): -8.292

=====

(8)
! Cr2PIr | Alexandria via LeMat-Bulk | PBE | relaxed; values from VASP
&SYSTEM
  ibrav = 0, nat = 4, ntyp = 3
/
ATOMIC_SPECIES
Cr 52.00 Cr.upf
Ir 192.22 Ir.upf
P 30.97 P.upf
CELL_PARAMETERS angstrom
7.842 -0.026 -0.015
7.365 2.694 -0.015
7.365 1.292 2.364
ATOMIC_POSITIONS angstrom
Cr 0.040 0.007 0.004
Cr 5.757 1.010 0.595
Ir 11.251 1.974 1.163
P 16.811 2.950 1.738
! E_tot (eV per atom): -8.334

=====

(9)
! Cr2PIr | Alexandria via LeMat-Bulk | PBE | relaxed; values from VASP
&SYSTEM
  ibrav = 0, nat = 4, ntyp = 3
/
ATOMIC_SPECIES
Cr 52.00 Cr.upf
Ir 192.22 Ir.upf
P 30.97 P.upf
CELL_PARAMETERS angstrom
-3.377 1.351 2.919
-4.333 -1.087 -1.341
4.028 -2.313 0.421
ATOMIC_POSITIONS angstrom
Cr 0.000 0.000 0.000
Cr -3.855 0.132 0.789
Ir -2.080 -1.634 -0.066
P -1.602 -0.415 2.064
! E_tot (eV per atom): -8.471

=====

(10)
! Cr2PIr | Alexandria via LeMat-Bulk | PBE | relaxed; values from VASP
&SYSTEM
  ibrav = 0, nat = 4, ntyp = 3
/
ATOMIC_SPECIES
Cr 52.00 Cr.upf
Ir 192.22 Ir.upf
P 30.97 P.upf
CELL_PARAMETERS angstrom
-3.915 1.045 2.160
-4.327 -1.346 0.739
0.587 -2.156 3.456
ATOMIC_POSITIONS angstrom
Cr -0.011 -0.025 0.046
Cr -3.816 -1.203 3.132
Ir -5.741 -1.843 4.766
P -1.914 -0.614 1.589
! E_tot (eV per atom): -8.391

=====

(11)
! CrPIr | Alexandria via LeMat-Bulk | PBE | relaxed; values from VASP
&SYSTEM
  ibrav = 0, nat = 6, ntyp = 3
/
ATOMIC_SPECIES
Cr 52.00 Cr.upf
P 30.97 P.upf
Ir 192.22 Ir.upf
CELL_PARAMETERS angstrom
-3.388 -0.652 2.211
3.713 -0.681 2.757
0.340 4.725 -1.075
ATOMIC_POSITIONS angstrom
Cr 0.981 3.858 -0.367
Cr -0.315 -0.465 4.259
P 0.948 0.691 2.694
P -0.283 2.701 1.198
Ir -1.285 0.650 1.889
Ir 1.950 2.743 2.004
! E_tot (eV per atom): -8.187

=====

(12)
! Cr2PIr | Alexandria via LeMat-Bulk | PBE | relaxed; values from VASP
&SYSTEM
  ibrav = 0, nat = 4, ntyp = 3
/
ATOMIC_SPECIES
Cr 52.00 Cr.upf
Ir 192.22 Ir.upf
P 30.97 P.upf
CELL_PARAMETERS angstrom
-0.711 4.526 0.135
-1.034 1.333 4.262
3.410 -2.546 -1.703
ATOMIC_POSITIONS angstrom
Cr 0.000 0.000 0.000
Cr 0.752 0.858 2.379
Ir -0.873 2.929 2.199
P 0.913 2.455 0.316
! E_tot (eV per atom): -8.487